Record 1
# Tb3Pm2Si4 (PBE, optimized geometry)
# Crystal system   monoclinic
# Calculated volume   217.74 Å³/f.u.
# Formation energy without anion corrections   -0.7525 eV per atom
data_Tb3Pm2Si4
_cell_length_a 7.737
_cell_length_b 7.792
_cell_length_c 7.530
_cell_angle_alpha 90.00
_cell_angle_beta 106.41
_cell_angle_gamma 90.00
_space_group_name_H-M_alt 'P 1 21/c 1'
_space_group_IT_number 14
loop_
_space_group_symop_operation_xyz
'x,y,z'
'-x,-y,-z'
'-x,y+1/2,-z+1/2'
'x,-y+1/2,z+1/2'
loop_
_atom_site_label
_atom_site_fract_x
_atom_site_fract_y
_atom_site_fract_z
_atom_site_occupancy
Tb1 0.000 0.000 0.000 1
Tb2 0.257 0.181 0.746 1
Pm1 0.300 0.680 0.912 1
Si1 0.007 0.618 0.122 1
Si2 0.420 0.029 0.120 1

Record 2
# Er3MgSc3Se8 (PBE, optimized geometry)
# Crystal system   trigonal
# Calculated volume   346.81 Å³/f.u.
# Formation energy without anion corrections   -1.6664 eV per atom
data_Er3MgSc3Se8
_cell_length_a 7.8720
_cell_length_b 7.8720
_cell_length_c 19.3869
_cell_angle_alpha 90.00
_cell_angle_beta 90.00
_cell_angle_gamma 120.00
_space_group_name_H-M_alt 'R -3 m'
_space_group_IT_number 166
_space_group_name_Hall '-R 3 2"'
loop_
_atom_site_label
_atom_site_fract_x
_atom_site_fract_y
_atom_site_fract_z
_atom_site_occupancy
Er1 0.0000 0.5000 0.0000 1
Mg1 0.0000 0.0000 0.5000 1
Sc1 0.0000 0.5000 0.5000 1
Se1 0.0000 0.0000 0.2461 1
Se2 0.0017 0.5009 0.7532 1

Record 3
# AgMo3Se3 (PBE, optimized geometry)
# Crystal system   hexagonal
# Calculated volume   140.33 Å³/f.u.
# Formation energy without anion corrections   -0.3282 eV per atom
data_AgMo3Se3
_cell_length_a 8.4463
_cell_length_b 8.4463
_cell_length_c 4.5428
_cell_angle_alpha 90.00
_cell_angle_beta 90.00
_cell_angle_gamma 120.00
_space_group_name_H-M_alt 'P 63/m'
_space_group_IT_number 176
_space_group_name_Hall '-P 6c'
loop_
_atom_site_label
_atom_site_fract_x
_atom_site_fract_y
_atom_site_fract_z
_atom_site_occupancy
Ag1 0.3333 0.6667 0.2500 1
Mo1 0.0606 0.8543 0.2500 1
Se1 0.1148 0.7137 0.7500 1

Record 4
# TiB2C (PBE, optimized geometry)
# Formation enthalpy at 0 K   1.793 eV/atom
# Crystal system   cubic
# Calculated volume   36.92 Å³/f.u.
data_TiB2C
_cell_length_a 5.286
_cell_length_b 5.286
_cell_length_c 5.286
_cell_angle_alpha 90.00
_cell_angle_beta 90.00
_cell_angle_gamma 90.00
_space_group_name_H-M_alt 'F m -3 m'
_space_group_IT_number 225
_space_group_name_Hall '-F 4 2 3'
loop_
_atom_site_label
_atom_site_fract_x
_atom_site_fract_y
_atom_site_fract_z
_atom_site_occupancy
Ti1 0.000 0.000 0.000 1
B1 0.250 0.250 0.250 1
C1 0.000 0.000 0.500 1

Record 5
# Pt2PbS2 (PBE, optimized geometry)
# Crystal system   tetragonal
# Calculated volume   107.37 Å³/f.u.
# Formation energy without anion corrections   0.0362 eV per atom
data_Pt2PbS2
_cell_length_a 4.726
_cell_length_b 4.726
_cell_length_c 9.616
_cell_angle_alpha 90.00
_cell_angle_beta 90.00
_cell_angle_gamma 90.00
_space_group_name_H-M_alt 'I 4/m m m'
_space_group_IT_number 139
_space_group_name_Hall '-I 4 2'
loop_
_atom_site_label
_atom_site_fract_x
_atom_site_fract_y
_atom_site_fract_z
_atom_site_occupancy
Pt1 0.000 0.500 0.250 1
Pb1 0.000 0.000 0.000 1
S1 0.000 0.000 0.315 1

Record 6
# KSrNi2 (PBE, optimized geometry)
# Formation enthalpy at 0 K   0.484 eV/atom
# Crystal system   tetragonal
# Calculated volume   115.75 Å³/f.u.
# E above lowest polymorph   7.48 kcal/mol of atoms
data_KSrNi2
_cell_length_a 3.964
_cell_length_b 3.964
_cell_length_c 7.365
_cell_angle_alpha 90.00
_cell_angle_beta 90.00
_cell_angle_gamma 90.00
_space_group_name_H-M_alt 'P 4/m m m'
_space_group_IT_number 123
_space_group_name_Hall '-P 4 2'
loop_
_atom_site_label
_atom_site_fract_x
_atom_site_fract_y
_atom_site_fract_z
_atom_site_occupancy
K1 0.000 0.000 0.000 1
Sr1 0.000 0.000 0.500 1
Ni1 0.500 0.500 0.343 1

Record 7
# Zr2BeOs (PBE, optimized geometry)
# Formation enthalpy at 0 K   -0.267 eV/atom
# Crystal system   monoclinic
# Calculated volume   71.45 Å³/f.u.
data_Zr2BeOs
_cell_length_a 3.473
_cell_length_b 4.065
_cell_length_c 5.348
_cell_angle_alpha 90.00
_cell_angle_beta 108.82
_cell_angle_gamma 90.00
_space_group_name_H-M_alt 'P 1 m 1'
_space_group_IT_number 6
loop_
_space_group_symop_operation_xyz
'x,y,z'
'x,-y,z'
loop_
_atom_site_label
_atom_site_fract_x
_atom_site_fract_y
_atom_site_fract_z
_atom_site_occupancy
Zr1 0.000 0.000 0.000 1
Zr2 0.281 0.500 0.565 1
Be1 0.571 0.500 0.143 1
Os1 0.708 0.000 0.416 1

Record 8
# BaLiGe (PBE, optimized geometry)
# Formation enthalpy at 0 K   -0.207 eV/atom
# Crystal system   hexagonal
# Calculated volume   108.85 Å³/f.u.
data_BaLiGe
_cell_length_a 4.7010
_cell_length_b 4.7010
_cell_length_c 11.3718
_cell_angle_alpha 90.00
_cell_angle_beta 90.00
_cell_angle_gamma 120.00
_space_group_name_H-M_alt 'P -6 m 2'
_space_group_IT_number 187
_space_group_name_Hall 'P -6 2'
loop_
_atom_site_label
_atom_site_fract_x
_atom_site_fract_y
_atom_site_fract_z
_atom_site_occupancy
Ba1 0.0000 0.0000 0.2395 1
Li1 0.3333 0.6667 0.0000 1
Li2 0.6667 0.3333 0.5000 1
Ge1 0.3333 0.6667 0.3972 1

no.,magnetization (μB per formula unit)
1,0.00
2,0.00
3,0.00
4,0.59
5,0.00
6,0.70
7,0.00
8,0.00